(1)
First-principles (GGA-PBE) data for a relaxed structure of Rb5SiSe4Cl2, as listed in the Alexandria database.

Lattice parameters (Å, degrees): 10.1180 6.9836 6.9836 108.57 90.00 90.00
Last column: nearest neighbours and their distance in Å.
Sites, in units of the cell vectors:
Rb  0.0000  0.0000  0.0000  2 Cl 3.29, 2 Se 3.42
Rb  0.2533  0.2870  0.6955  2 Cl 3.30-3.35, 4 Se 3.48-3.67
Rb  0.2533  0.6955  0.2870  2 Cl 3.30-3.35, 4 Se 3.48-3.67
Rb  0.7467  0.2870  0.6955  2 Cl 3.30-3.35, 4 Se 3.48-3.67
Rb  0.7467  0.6955  0.2870  2 Cl 3.30-3.35, 4 Se 3.48-3.67
Si  0.5000  0.0095  0.0095  4 Se 2.26-2.33
Se  0.3124  0.1596  0.1596  1 Si 2.26
Se  0.5000  0.6595  0.9292  1 Si 2.33
Se  0.5000  0.9292  0.6595  1 Si 2.33
Se  0.6876  0.1596  0.1596  1 Si 2.26
Cl  0.0000  0.5198  0.9700  5 Rb 3.29-3.35
Cl  0.0000  0.9700  0.5198  5 Rb 3.29-3.35

## Properties
Symmetry: Amm2, No. 38
Formation energy without anion corrections, eV/atom: -1.22
M_tot, μB per atom: 0.079

(2)
First-principles (GGA-PBE) data for a relaxed structure of Rb2SiSeCl6, as listed in the Alexandria database.

Lattice parameters (Å, degrees): 7.2124 7.2124 7.2124 113.42 113.42 101.84
Last column: nearest neighbours and their distance in Å.
Sites, in units of the cell vectors:
Rb  0.2500  0.7500  0.5000  12 Cl 3.65-3.96
Rb  0.7500  0.2500  0.5000  12 Cl 3.65-3.96
Si  0.0000  0.0000  0.0000  6 Cl 2.19-2.26
Se  0.5000  0.5000  0.0000  2 Cl 2.36
Cl  0.2019  0.2019  0.4038  1 Si 2.26
Cl  0.2019  0.7981  0.0000  1 Si 2.26
Cl  0.2410  0.2410  0.0000  1 Si 2.19, 1 Se 2.36
Cl  0.7590  0.7590  0.0000  1 Si 2.19, 1 Se 2.36
Cl  0.7981  0.2019  0.0000  1 Si 2.26
Cl  0.7981  0.7981  0.5962  1 Si 2.26

## Properties
Symmetry: I4/mmm, No. 139
Formation energy without anion corrections, eV/atom: -1.04
M_tot, μB per atom: 0.000
N(E_F), states/eV per atom: 0.000

(3)
First-principles (GGA-PBE) data for a relaxed structure of RbSnSeCl2, as listed in the Alexandria database.

Lattice parameters (Å, degrees): 5.5163 5.5163 5.2746 90.00 90.00 90.00
Last column: nearest neighbours and their distance in Å.
Sites, in units of the cell vectors:
Rb  0.0000  0.0000  0.0000  8 Cl 3.82, 4 Se 3.90
Sn  0.5000  0.5000  0.5000  2 Se 2.64, 4 Cl 2.76
Se  0.5000  0.5000  0.0000  2 Sn 2.64
Cl  0.0000  0.5000  0.5000  2 Sn 2.76
Cl  0.5000  0.0000  0.5000  2 Sn 2.76

## Properties
Symmetry: P4/mmm, No. 123
Formation energy without anion corrections, eV/atom: -1.05
M_tot, μB per atom: 0.000
N(E_F), states/eV per atom: 0.125

(4)
First-principles (GGA-PBE) data for a relaxed structure of Rb2SrSeCl6, as listed in the Alexandria database.

Lattice parameters (Å, degrees): 8.4331 8.4331 8.4331 127.41 127.41 77.58
Last column: nearest neighbours and their distance in Å.
Sites, in units of the cell vectors:
Rb  0.2500  0.7500  0.5000  4 Cl 3.76
Rb  0.7500  0.2500  0.5000  4 Cl 3.76
Sr  0.0000  0.0000  0.0000  6 Cl 2.82-2.85
Se  0.5000  0.5000  0.0000  4 Cl 2.43
Cl  0.2145  0.2145  0.0000  1 Sr 2.82
Cl  0.2699  0.2699  0.5398  1 Se 2.43
Cl  0.2699  0.7301  0.0000  1 Se 2.43
Cl  0.7301  0.2699  0.0000  1 Se 2.43
Cl  0.7301  0.7301  0.4602  1 Se 2.43
Cl  0.7855  0.7855  0.0000  1 Sr 2.82

## Properties
Symmetry: I4/mmm, No. 139
Formation energy without anion corrections, eV/atom: -1.50
M_tot, μB per atom: 0.000
N(E_F), states/eV per atom: 0.000

(5)
First-principles (GGA-PBE) data for a relaxed structure of Rb2TaSeCl5, as listed in the Alexandria database.

Lattice parameters (Å, degrees): 7.4490 7.4490 7.4490 121.68 121.68 87.11
Last column: nearest neighbours and their distance in Å.
Sites, in units of the cell vectors:
Rb  0.0000  0.5000  0.5000  2 Se 3.63, 10 Cl 3.64-3.76
Rb  0.5000  0.0000  0.5000  2 Se 3.63, 10 Cl 3.64-3.76
Ta  0.2307  0.2307  0.0000  1 Se 2.36, 5 Cl 2.41-2.60
Se  0.0117  0.0117  0.0000  1 Ta 2.36
Cl  0.0205  0.0205  0.5324  1 Ta 2.41
Cl  0.0205  0.4880  0.0000  1 Ta 2.41
Cl  0.4719  0.4719  0.0000  1 Ta 2.60
Cl  0.4880  0.0205  0.0000  1 Ta 2.41
Cl  0.4880  0.4880  0.4676  1 Ta 2.41

## Properties
Symmetry: I4mm, No. 107
Formation energy without anion corrections, eV/atom: -1.55
M_tot, μB per atom: 0.000
N(E_F), states/eV per atom: 0.000

(6)
First-principles (GGA-PBE) data for a relaxed structure of Rb8TeSe2Cl, as listed in the Alexandria database.

Lattice parameters (Å, degrees): 5.9304 11.7062 8.3709 90.00 90.06 90.00
Last column: nearest neighbours and their distance in Å.
Sites, in units of the cell vectors:
Rb  0.0000  0.0000  0.2395  2 Se 3.57, 2 Te 3.68
Rb  0.0000  0.0000  0.7605  2 Se 3.57, 2 Te 3.68
Rb  0.0015  0.5000  0.2332  2 Se 3.50, 2 Cl 3.70-3.72, 1 Rb 3.90
Rb  0.4994  0.2535  0.7636  2 Se 3.56-3.57, 1 Cl 3.63, 1 Te 3.70, 1 Rb 3.96
Rb  0.4994  0.7465  0.7636  2 Se 3.56-3.57, 1 Cl 3.63, 1 Te 3.70, 1 Rb 3.96
Rb  0.5006  0.2535  0.2364  2 Se 3.56-3.57, 1 Cl 3.63, 1 Te 3.70, 1 Rb 3.96
Rb  0.5006  0.7465  0.2364  2 Se 3.56-3.57, 1 Cl 3.63, 1 Te 3.70, 1 Rb 3.96
Rb  0.9985  0.5000  0.7668  2 Se 3.50, 2 Cl 3.70-3.72, 1 Rb 3.90
Te  0.5000  0.0000  0.5000  8 Rb 3.68-3.70
Se  0.0000  0.2520  0.0000  8 Rb 3.50-3.57
Se  0.0000  0.7480  0.0000  8 Rb 3.50-3.57
Cl  0.5000  0.5000  0.5000  8 Rb 3.63-3.72

## Properties
Symmetry: P2/m, No. 10
Formation energy without anion corrections, eV/atom: -1.04
M_tot, μB per atom: 0.016
N(E_F), states/eV per atom: 0.140

(7)
First-principles (GGA-PBE) data for a relaxed structure of RbThSe2Cl, as listed in the Alexandria database.

Lattice parameters (Å, degrees): 9.3446 4.3423 9.4655 90.00 105.23 90.00
Last column: nearest neighbours and their distance in Å.
Sites, in units of the cell vectors:
Rb  0.2446  0.2500  0.3150  2 Cl 3.32, 5 Se 3.64-3.66
Rb  0.7554  0.7500  0.6850  2 Cl 3.32, 5 Se 3.64-3.66
Th  0.3320  0.2500  0.8254  1 Cl 2.69, 5 Se 2.87-2.98
Th  0.6680  0.7500  0.1746  1 Cl 2.69, 5 Se 2.87-2.98
Se  0.3428  0.7500  0.0434  3 Th 2.97-2.98
Se  0.3536  0.7500  0.6336  2 Th 2.87
Se  0.6464  0.2500  0.3664  2 Th 2.87
Se  0.6572  0.2500  0.9566  3 Th 2.97-2.98
Cl  0.0340  0.2500  0.7661  1 Th 2.69
Cl  0.9660  0.7500  0.2339  1 Th 2.69

## Properties
Symmetry: P2_1/m, No. 11
Formation energy without anion corrections, eV/atom: -1.81
M_tot, μB per atom: 0.000
N(E_F), states/eV per atom: 0.000

(8)
First-principles (GGA-PBE) data for a relaxed structure of RbTl2SeCl, as listed in the Alexandria database.

Lattice parameters (Å, degrees): 8.1328 4.4334 10.2960 90.00 97.16 90.00
Last column: nearest neighbours and their distance in Å.
Sites, in units of the cell vectors:
Rb  0.0045  0.2500  0.1962  3 Cl 3.24-3.26, 2 Se 3.59
Rb  0.9955  0.7500  0.8038  3 Cl 3.24-3.26, 2 Se 3.59
Tl  0.3012  0.2500  0.5478  3 Se 3.03-3.14
Tl  0.4957  0.2500  0.1915  1 Cl 3.00, 2 Se 3.20
Tl  0.5043  0.7500  0.8085  1 Cl 3.00, 2 Se 3.20
Tl  0.6988  0.7500  0.4522  3 Se 3.03-3.14
Se  0.3184  0.7500  0.3495  5 Tl 3.03-3.20
Se  0.6816  0.2500  0.6505  5 Tl 3.03-3.20
Cl  0.2349  0.2500  0.9586  1 Tl 3.00, 3 Rb 3.24-3.26
Cl  0.7651  0.7500  0.0414  1 Tl 3.00, 3 Rb 3.24-3.26

## Properties
Symmetry: P2_1/m, No. 11
Formation energy without anion corrections, eV/atom: -0.91
M_tot, μB per atom: 0.000

(9)
First-principles (GGA-PBE) data for a relaxed structure of RbUSe2Cl, as listed in the Alexandria database.

Lattice parameters (Å, degrees): 9.2380 4.2001 9.3280 90.00 104.35 90.00
Last column: nearest neighbours and their distance in Å.
Sites, in units of the cell vectors:
Rb  0.2376  0.2500  0.3211  2 Cl 3.30, 5 Se 3.60-3.64
Rb  0.7624  0.7500  0.6789  2 Cl 3.30, 5 Se 3.60-3.64
U  0.3402  0.2500  0.8327  1 Cl 2.63, 5 Se 2.80-2.88
U  0.6598  0.7500  0.1673  1 Cl 2.63, 5 Se 2.80-2.88
Se  0.3422  0.7500  0.0437  3 U 2.87-2.88
Se  0.3630  0.7500  0.6411  2 U 2.80
Se  0.6370  0.2500  0.3589  2 U 2.80
Se  0.6578  0.2500  0.9563  3 U 2.87-2.88
Cl  0.0464  0.2500  0.7598  1 U 2.63
Cl  0.9536  0.7500  0.2402  1 U 2.63

## Properties
Symmetry: P2_1/m, No. 11
Formation energy without anion corrections, eV/atom: -1.45
M_tot, μB per atom: 0.400
N(E_F), states/eV per atom: 1.270

(10)
First-principles (GGA-PBE) data for a relaxed structure of Rb2WSeCl6, as listed in the Alexandria database.

Lattice parameters (Å, degrees): 7.4589 7.4589 7.4589 111.81 111.81 104.88
Last column: nearest neighbours and their distance in Å.
Sites, in units of the cell vectors:
Rb  0.2500  0.7500  0.5000  12 Cl 3.77-4.18
Rb  0.7500  0.2500  0.5000  12 Cl 3.77-4.18
W  0.0000  0.0000  0.0000  6 Cl 2.27-2.44
Se  0.5000  0.5000  0.0000  2 Cl 2.27
Cl  0.2061  0.2061  0.4121  1 W 2.44
Cl  0.2061  0.7939  0.0000  1 W 2.44
Cl  0.2500  0.2500  0.0000  1 Se 2.27, 1 W 2.27
Cl  0.7500  0.7500  0.0000  1 Se 2.27, 1 W 2.27
Cl  0.7939  0.2061  0.0000  1 W 2.44
Cl  0.7939  0.7939  0.5879  1 W 2.44

## Properties
Symmetry: I4/mmm, No. 139
Formation energy without anion corrections, eV/atom: -0.91
M_tot, μB per atom: 0.200
N(E_F), states/eV per atom: 0.485

(11)
First-principles (GGA-PBE) data for a relaxed structure of RbYSeCl2, as listed in the Alexandria database.

Lattice parameters (Å, degrees): 5.3989 5.3989 5.5215 90.00 90.00 90.00
Last column: nearest neighbours and their distance in Å.
Sites, in units of the cell vectors:
Rb  0.0000  0.0000  0.0000  4 Se 3.82, 8 Cl 3.86
Y  0.5000  0.5000  0.5000  4 Cl 2.70, 2 Se 2.76
Se  0.5000  0.5000  0.0000  2 Y 2.76
Cl  0.0000  0.5000  0.5000  2 Y 2.70
Cl  0.5000  0.0000  0.5000  2 Y 2.70

## Properties
Symmetry: P4/mmm, No. 123
Formation energy without anion corrections, eV/atom: -1.95
M_tot, μB per atom: 0.000
N(E_F), states/eV per atom: 0.000